[1]
Density functional theory data (PBE-GGA) for a relaxed structure of RbCuTeIrSe2.

DFT total energy = -4.335 eV per atom
Crystal system = orthorhombic

Lattice parameters (Å, degrees): 8.217 8.217 10.169 90.00 90.00 152.96
Fractional positions:
Rb 0.233 0.767 0.750
Rb 0.767 0.233 0.250
Cu 0.456 0.544 0.250
Cu 0.544 0.456 0.750
Te 0.066 0.934 0.250
Te 0.934 0.066 0.750
Ir 0.000 0.000 0.000
Ir 0.000 0.000 0.500
Se 0.397 0.603 0.036
Se 0.397 0.603 0.464
Se 0.603 0.397 0.536
Se 0.603 0.397 0.964

=====

[2]
Density functional theory data (PBE-GGA) for a relaxed structure of HoScCSe.

DFT total energy = -7.052 eV per atom
Offset from the most stable computed form = 0.0 meV per atom
Crystal system = hexagonal

Lattice parameters (Å, degrees): 3.627 3.627 12.777 90.00 90.00 120.00
Fractional positions:
Ho 0.333 0.667 0.000
Ho 0.667 0.333 0.500
Sc 0.333 0.667 0.302
Sc 0.667 0.333 0.802
C 0.000 0.000 0.397
C 0.000 0.000 0.897
Se 0.333 0.667 0.659
Se 0.667 0.333 0.159

=====

| no. | V (Å³/cell) | magnetization (μB per cell) |
| --- | --- | --- |
| 1 | 312.2 | 0.01 |
| 2 | 145.6 | 0.01 |